No. 1
# EuLuGePt

A relaxed EuLuGePt crystal (PBE-GGA, Alexandria via LeMat-Bulk).

Fermi-level density of states = 2.449 states/eV/atom
Volume = 358.9 Å³/cell
Crystal system = cubic
Formation energy = -0.80 eV/atom

abc: 7.1068 7.1068 7.1068
angles: 90.00 90.00 90.00
Closest atoms and distances in Å follow each position.
Space group F-43m (No. 216)
Inequivalent atoms, fractional coordinates:
Eu 0.0000 0.0000 0.0000 (multiplicity 4)  4 Ge 3.08, 4 Pt 3.08
Lu 0.0000 0.0000 0.5000 (multiplicity 4)  4 Ge 3.08, 4 Pt 3.08
Ge 0.2500 0.2500 0.2500 (multiplicity 4)  4 Lu 3.08, 4 Eu 3.08
Pt 0.2500 0.2500 0.7500 (multiplicity 4)  4 Eu 3.08, 4 Lu 3.08


No. 2
# EuLuZnGe

A relaxed EuLuZnGe crystal (PBE-GGA, Alexandria via LeMat-Bulk).

Fermi-level density of states = 0.698 states/eV/atom
Volume = 370.2 Å³/cell
Crystal system = cubic
Formation energy = -0.45 eV/atom

abc: 7.1804 7.1804 7.1804
angles: 90.00 90.00 90.00
Closest atoms and distances in Å follow each position.
Space group F-43m (No. 216)
Inequivalent atoms, fractional coordinates:
Eu 0.0000 0.0000 0.0000 (multiplicity 4)  4 Ge 3.11, 4 Zn 3.11
Lu 0.0000 0.0000 0.5000 (multiplicity 4)  4 Ge 3.11, 4 Zn 3.11
Zn 0.2500 0.2500 0.7500 (multiplicity 4)  4 Eu 3.11, 4 Lu 3.11
Ge 0.2500 0.2500 0.2500 (multiplicity 4)  4 Eu 3.11, 4 Lu 3.11


No. 3
# EuMgGe2

A relaxed EuMgGe2 crystal (PBE-GGA, Alexandria via LeMat-Bulk).

Fermi-level density of states = 0.656 states/eV/atom
Volume = 357.4 Å³/cell
Crystal system = cubic
Formation energy = -0.33 eV/atom

abc: 7.0966 7.0966 7.0966
angles: 90.00 90.00 90.00
Closest atoms and distances in Å follow each position.
Space group Fm-3m (No. 225)
Inequivalent atoms, fractional coordinates:
Eu 0.0000 0.0000 0.0000 (multiplicity 4)  8 Ge 3.07
Mg 0.0000 0.0000 0.5000 (multiplicity 4)  8 Ge 3.07
Ge 0.2500 0.2500 0.2500 (multiplicity 8)  4 Mg 3.07, 4 Eu 3.07


No. 4
# EuMgGe2

A relaxed EuMgGe2 crystal (PBE-GGA, Alexandria via LeMat-Bulk).

Fermi-level density of states = 0.448 states/eV/atom
Volume = 89.4 Å³/cell
Crystal system = tetragonal
Formation energy = -0.35 eV/atom

abc: 3.6619 3.6619 6.6642
angles: 90.00 90.00 90.00
Closest atoms and distances in Å follow each position.
Space group P4/mmm (No. 123)
Inequivalent atoms, fractional coordinates:
Eu 0.0000 0.0000 0.0000 (multiplicity 1)  8 Ge 3.27, 2 Mg 3.33, 4 Eu 3.66
Mg 0.0000 0.0000 0.5000 (multiplicity 1)  8 Ge 2.91
Ge 0.5000 0.5000 0.3009 (multiplicity 2)  1 Ge 2.65, 4 Mg 2.91


No. 5
# EuMgGe2

A relaxed EuMgGe2 crystal (PBE-GGA, Alexandria via LeMat-Bulk).

Fermi-level density of states = 0.286 states/eV/atom
Volume = 87.1 Å³/cell
Crystal system = tetragonal
Formation energy = -0.39 eV/atom

abc: 4.5481 4.5481 4.2128
angles: 90.00 90.00 90.00
Closest atoms and distances in Å follow each position.
Space group P4/mmm (No. 123)
Inequivalent atoms, fractional coordinates:
Eu 0.0000 0.0000 0.0000 (multiplicity 1)  8 Ge 3.10, 4 Mg 3.22
Mg 0.5000 0.5000 0.0000 (multiplicity 1)  8 Ge 3.10, 4 Eu 3.22
Ge 0.0000 0.5000 0.5000 (multiplicity 2)  4 Mg 3.10, 4 Eu 3.10, 4 Ge 3.22


No. 6
# NdEuMgGe

A relaxed NdEuMgGe crystal (PBE-GGA, Alexandria via LeMat-Bulk).

Fermi-level density of states = 0.614 states/eV/atom
Volume = 428.4 Å³/cell
Crystal system = cubic
Formation energy = -0.35 eV/atom

abc: 7.5383 7.5383 7.5383
angles: 90.00 90.00 90.00
Closest atoms and distances in Å follow each position.
Space group F-43m (No. 216)
Inequivalent atoms, fractional coordinates:
Nd 0.0000 0.0000 0.0000 (multiplicity 4)  4 Ge 3.26, 4 Mg 3.26
Eu 0.0000 0.0000 0.5000 (multiplicity 4)  4 Mg 3.26, 4 Ge 3.26
Mg 0.2500 0.2500 0.7500 (multiplicity 4)  4 Nd 3.26, 4 Eu 3.26
Ge 0.2500 0.2500 0.2500 (multiplicity 4)  4 Nd 3.26, 4 Eu 3.26


No. 7
# EuMgGePb

A relaxed EuMgGePb crystal (PBE-GGA, Alexandria via LeMat-Bulk).

Fermi-level density of states = 0.614 states/eV/atom
Volume = 413.8 Å³/cell
Crystal system = cubic
Formation energy = -0.27 eV/atom

abc: 7.4521 7.4521 7.4521
angles: 90.00 90.00 90.00
Closest atoms and distances in Å follow each position.
Space group F-43m (No. 216)
Inequivalent atoms, fractional coordinates:
Eu 0.0000 0.0000 0.0000 (multiplicity 4)  4 Pb 3.23, 4 Ge 3.23
Mg 0.0000 0.0000 0.5000 (multiplicity 4)  4 Ge 3.23, 4 Pb 3.23
Ge 0.2500 0.2500 0.7500 (multiplicity 4)  4 Mg 3.23, 4 Eu 3.23
Pb 0.2500 0.2500 0.2500 (multiplicity 4)  4 Mg 3.23, 4 Eu 3.23


No. 8
# PmEuMgGe

A relaxed PmEuMgGe crystal (PBE-GGA, Alexandria via LeMat-Bulk).

Fermi-level density of states = 0.630 states/eV/atom
Volume = 423.5 Å³/cell
Crystal system = cubic
Formation energy = -0.35 eV/atom

abc: 7.5094 7.5094 7.5094
angles: 90.00 90.00 90.00
Closest atoms and distances in Å follow each position.
Space group F-43m (No. 216)
Inequivalent atoms, fractional coordinates:
Pm 0.0000 0.0000 0.0000 (multiplicity 4)  4 Ge 3.25, 4 Mg 3.25
Eu 0.0000 0.0000 0.5000 (multiplicity 4)  4 Ge 3.25, 4 Mg 3.25
Mg 0.2500 0.2500 0.2500 (multiplicity 4)  4 Pm 3.25, 4 Eu 3.25
Ge 0.2500 0.2500 0.7500 (multiplicity 4)  4 Pm 3.25, 4 Eu 3.25


No. 9
# EuMgSnGe

A relaxed EuMgSnGe crystal (PBE-GGA, Alexandria via LeMat-Bulk).

Fermi-level density of states = 0.697 states/eV/atom
Volume = 397.4 Å³/cell
Crystal system = cubic
Formation energy = -0.32 eV/atom

abc: 7.3523 7.3523 7.3523
angles: 90.00 90.00 90.00
Closest atoms and distances in Å follow each position.
Space group F-43m (No. 216)
Inequivalent atoms, fractional coordinates:
Eu 0.0000 0.0000 0.0000 (multiplicity 4)  4 Ge 3.18, 4 Sn 3.18
Mg 0.0000 0.0000 0.5000 (multiplicity 4)  4 Ge 3.18, 4 Sn 3.18
Sn 0.2500 0.2500 0.7500 (multiplicity 4)  4 Eu 3.18, 4 Mg 3.18
Ge 0.2500 0.2500 0.2500 (multiplicity 4)  4 Mg 3.18, 4 Eu 3.18


No. 10
# EuMgTlGe

A relaxed EuMgTlGe crystal (PBE-GGA, Alexandria via LeMat-Bulk).

Fermi-level density of states = 0.593 states/eV/atom
Volume = 402.6 Å³/cell
Crystal system = cubic
Formation energy = -0.29 eV/atom

abc: 7.3838 7.3838 7.3838
angles: 90.00 90.00 90.00
Closest atoms and distances in Å follow each position.
Space group F-43m (No. 216)
Inequivalent atoms, fractional coordinates:
Eu 0.0000 0.0000 0.0000 (multiplicity 4)  4 Ge 3.20, 4 Tl 3.20
Mg 0.0000 0.0000 0.5000 (multiplicity 4)  4 Tl 3.20, 4 Ge 3.20
Tl 0.2500 0.2500 0.7500 (multiplicity 4)  4 Mg 3.20, 4 Eu 3.20
Ge 0.2500 0.2500 0.2500 (multiplicity 4)  4 Mg 3.20, 4 Eu 3.20


No. 11
# EuMgZnGe

A relaxed EuMgZnGe crystal (PBE-GGA, Alexandria via LeMat-Bulk).

Fermi-level density of states = 0.261 states/eV/atom
Volume = 350.9 Å³/cell
Crystal system = cubic
Formation energy = -0.36 eV/atom

abc: 7.0536 7.0536 7.0536
angles: 90.00 90.00 90.00
Closest atoms and distances in Å follow each position.
Space group F-43m (No. 216)
Inequivalent atoms, fractional coordinates:
Eu 0.0000 0.0000 0.0000 (multiplicity 4)  4 Ge 3.05, 4 Zn 3.05
Mg 0.0000 0.0000 0.5000 (multiplicity 4)  4 Ge 3.05, 4 Zn 3.05
Zn 0.2500 0.2500 0.7500 (multiplicity 4)  4 Mg 3.05, 4 Eu 3.05
Ge 0.2500 0.2500 0.2500 (multiplicity 4)  4 Mg 3.05, 4 Eu 3.05


No. 12
# EuMnGe2

A relaxed EuMnGe2 crystal (PBE-GGA, Alexandria via LeMat-Bulk).

Fermi-level density of states = 2.122 states/eV/atom
Volume = 249.2 Å³/cell
Crystal system = trigonal
Formation energy = -0.35 eV/atom

abc: 4.1453 4.1453 16.7457
angles: 90.00 90.00 120.00
Closest atoms and distances in Å follow each position.
Space group R-3m (No. 166, hexagonal axes)
Inequivalent atoms, fractional coordinates:
Eu 0.0000 0.0000 0.0000 (multiplicity 3)  6 Ge 3.07
Mn 0.0000 0.0000 0.5000 (multiplicity 3)  6 Ge 2.54
Ge 0.0000 0.0000 0.2181 (multiplicity 6)  3 Mn 2.54


No. 13
# EuMn2Ge2

A relaxed EuMn2Ge2 crystal (PBE-GGA, Alexandria via LeMat-Bulk).

Fermi-level density of states = 1.764 states/eV/atom
Volume = 178.9 Å³/cell
Crystal system = tetragonal
Formation energy = -0.37 eV/atom

abc: 4.0160 4.0160 11.0956
angles: 90.00 90.00 90.00
Closest atoms and distances in Å follow each position.
Space group I4/mmm (No. 139)
Inequivalent atoms, fractional coordinates:
Eu 0.0000 0.0000 0.0000 (multiplicity 2)  8 Ge 3.16, 8 Mn 3.42
Mn 0.0000 0.5000 0.2500 (multiplicity 4)  4 Ge 2.44
Ge 0.0000 0.0000 0.3749 (multiplicity 4)  4 Mn 2.44